# 1
Material: TmUTc2
Method: DFT, PBE
State: optimized geometry

Values from the calculation:
ΔH_f (0 K)	0.0021	eV/atom
density of states at the Fermi level	4.5	states/eV/cell
total magnetic moment	0.00	Bohr magnetons per cell
total energy	-9.12	eV/atom

The structure in extended XYZ format:
```
4
Lattice="1.6811 0.9706 8.2049 -1.6811 0.9706 8.2049 0.0000 -1.9412 8.2049" Properties=species:S:1:pos:R:3 pbc="T T T"
Tm 0.0000 0.0000 0.0000
U 0.0000 0.0000 12.3073
Tc 0.0000 0.0000 5.8435
Tc 0.0000 0.0000 18.7710
```

---

# 2
Material: Nd4PuCo5
Method: DFT, PBE
State: optimized geometry

Values from the calculation:
ΔH_f (0 K)	0.1002	eV/atom
density of states at the Fermi level	11.7	states/eV/cell
total magnetic moment	1.75	Bohr magnetons per cell
total energy	-6.79	eV/atom

The structure in extended XYZ format:
```
10
Lattice="-4.6583 4.6583 2.4083 4.6583 -4.6583 2.4083 4.6583 4.6583 -2.4083" Properties=species:S:1:pos:R:3 pbc="T T T"
Nd 2.6749 0.0000 0.0000
Nd 6.6418 0.0000 0.0000
Nd 0.0000 2.6749 0.0000
Nd 0.0000 6.6418 0.0000
Pu 0.0000 0.0000 1.8641
Co 3.0020 3.0020 0.0641
Co 1.6563 -1.6563 2.4723
Co -1.6563 1.6563 2.4723
Co 1.6563 1.6563 2.4723
Co 0.0000 0.0000 4.2153
```